Record 1
# LaMgAl | the Alexandria database | PBE-GGA | relaxed
# - ΔH_f (0 K): -42 kJ/mol of formula units
# - Space-group type: No. 8
# - Size of the total moment: 0.00 Bohr magnetons per cell
# - Calculated total energy: -21.4 eV per cell
data_LaMgAl
_chemical_formula_sum 'La2 Mg2 Al2'
_symmetry_space_group_name_H-M 'P 1'
_symmetry_Int_Tables_number 1
_cell_length_a 7.569
_cell_length_b 4.443
_cell_length_c 5.888
_cell_angle_alpha 67.82
_cell_angle_beta 80.01
_cell_angle_gamma 107.06
loop_
_symmetry_equiv_pos_as_xyz
'x,y,z'
loop_
_atom_site_label
_atom_site_type_symbol
_atom_site_fract_x
_atom_site_fract_y
_atom_site_fract_z
Al1 Al 0.614 0.761 0.597
Al2 Al 0.413 0.201 0.517
Mg1 Mg 0.180 0.451 0.783
Mg2 Mg 0.044 0.059 0.430
La1 La 0.426 0.924 0.084
La2 La 0.831 0.604 0.128


Record 2
# LaMgAl | the Alexandria database | PBE-GGA | relaxed
# - ΔH_f (0 K): -64 kJ/mol of formula units
# - Space-group type: No. 46
# - Size of the total moment: 0.00 Bohr magnetons per cell
# - Calculated total energy: -21.9 eV per cell
data_LaMgAl
_chemical_formula_sum 'La2 Mg2 Al2'
_symmetry_space_group_name_H-M 'P 1'
_symmetry_Int_Tables_number 1
_cell_length_a 6.197
_cell_length_b 4.916
_cell_length_c 6.197
_cell_angle_alpha 66.63
_cell_angle_beta 83.64
_cell_angle_gamma 66.63
loop_
_symmetry_equiv_pos_as_xyz
'x,y,z'
loop_
_atom_site_label
_atom_site_type_symbol
_atom_site_fract_x
_atom_site_fract_y
_atom_site_fract_z
Mg1 Mg 0.292 0.524 0.321
Mg2 Mg 0.483 0.024 0.130
Al1 Al 0.706 0.130 0.697
Al2 Al 0.859 0.630 0.544
La1 La 0.869 0.327 0.139
La2 La 0.301 0.827 0.707


Record 3
# La5Mg4Al | the Alexandria database | PBE-GGA | relaxed
# - ΔH_f (0 K): -159 kJ/mol of formula units
# - Space-group type: No. 123
# - Size of the total moment: 0.00 Bohr magnetons per cell
# - Calculated total energy: -36.4 eV per cell
data_La5Mg4Al
_chemical_formula_sum 'La5 Mg4 Al1'
_symmetry_space_group_name_H-M 'P 1'
_symmetry_Int_Tables_number 1
_cell_length_a 3.910
_cell_length_b 3.910
_cell_length_c 19.854
_cell_angle_alpha 90.00
_cell_angle_beta 90.00
_cell_angle_gamma 90.00
loop_
_symmetry_equiv_pos_as_xyz
'x,y,z'
loop_
_atom_site_label
_atom_site_type_symbol
_atom_site_fract_x
_atom_site_fract_y
_atom_site_fract_z
Mg1 Mg 0.000 0.000 0.196
Mg2 Mg 0.000 0.000 0.602
Mg3 Mg 0.000 0.000 0.398
Mg4 Mg 0.000 0.000 0.804
Al1 Al 0.000 0.000 0.000
La1 La 0.500 0.500 0.297
La2 La 0.500 0.500 0.910
La3 La 0.500 0.500 0.703
La4 La 0.500 0.500 0.090
La5 La 0.500 0.500 0.500


Record 4
# La6MgAl | the Alexandria database | PBE-GGA | relaxed
# - ΔH_f (0 K): -28 kJ/mol of formula units
# - Space-group type: No. 2
# - Size of the total moment: 0.00 Bohr magnetons per cell
# - Calculated total energy: -35.2 eV per cell
data_La6MgAl
_chemical_formula_sum 'La6 Mg1 Al1'
_symmetry_space_group_name_H-M 'P 1'
_symmetry_Int_Tables_number 1
_cell_length_a 6.549
_cell_length_b 8.085
_cell_length_c 8.928
_cell_angle_alpha 64.24
_cell_angle_beta 100.63
_cell_angle_gamma 51.85
loop_
_symmetry_equiv_pos_as_xyz
'x,y,z'
loop_
_atom_site_label
_atom_site_type_symbol
_atom_site_fract_x
_atom_site_fract_y
_atom_site_fract_z
Al1 Al 0.000 0.000 0.000
Mg1 Mg 0.500 0.500 0.500
La1 La 0.830 0.656 0.229
La2 La 0.242 0.117 0.241
La3 La 0.758 0.883 0.759
La4 La 0.170 0.344 0.771
La5 La 0.368 0.746 0.770
La6 La 0.632 0.254 0.230


Record 5
# La3MgAl | the Alexandria database | PBE-GGA | relaxed
# - ΔH_f (0 K): -86 kJ/mol of formula units
# - Distance to the lowest polymorph of the same formula: 0 meV/atom
# - Space-group type: No. 63
# - Size of the total moment: 0.00 Bohr magnetons per cell
# - Calculated total energy: -42.0 eV per cell
data_La3MgAl
_chemical_formula_sum 'La6 Mg2 Al2'
_symmetry_space_group_name_H-M 'P 1'
_symmetry_Int_Tables_number 1
_cell_length_a 5.525
_cell_length_b 5.520
_cell_length_c 10.375
_cell_angle_alpha 90.00
_cell_angle_beta 74.56
_cell_angle_gamma 90.00
loop_
_symmetry_equiv_pos_as_xyz
'x,y,z'
loop_
_atom_site_label
_atom_site_type_symbol
_atom_site_fract_x
_atom_site_fract_y
_atom_site_fract_z
La1 La 0.758 0.250 0.132
La2 La 0.076 0.750 0.495
La3 La 0.265 0.750 0.118
La4 La 0.572 0.250 0.505
La5 La 0.383 0.250 0.882
La6 La 0.890 0.750 0.868
Al1 Al 0.169 0.250 0.311
Al2 Al 0.480 0.750 0.689
Mg1 Mg 0.669 0.750 0.311
Mg2 Mg 0.980 0.250 0.689


Record 6
# La3Mg2Al | the Alexandria database | PBE-GGA | relaxed
# - ΔH_f (0 K): -116 kJ/mol of formula units
# - Distance to the lowest polymorph of the same formula: 0 meV/atom
# - Space-group type: No. 164
# - Size of the total moment: 0.00 Bohr magnetons per cell
# - Calculated total energy: -22.9 eV per cell
data_La3Mg2Al
_chemical_formula_sum 'La3 Mg2 Al1'
_symmetry_space_group_name_H-M 'P 1'
_symmetry_Int_Tables_number 1
_cell_length_a 5.508
_cell_length_b 5.508
_cell_length_c 6.755
_cell_angle_alpha 90.00
_cell_angle_beta 90.00
_cell_angle_gamma 120.00
loop_
_symmetry_equiv_pos_as_xyz
'x,y,z'
loop_
_atom_site_label
_atom_site_type_symbol
_atom_site_fract_x
_atom_site_fract_y
_atom_site_fract_z
Mg1 Mg 0.667 0.333 0.344
Mg2 Mg 0.333 0.667 0.656
La1 La 0.667 0.333 0.843
La2 La 0.000 0.000 0.500
La3 La 0.333 0.667 0.157
Al1 Al 0.000 0.000 0.000


Record 7
# La6MgAl2 | the Alexandria database | PBE-GGA | relaxed
# - ΔH_f (0 K): -40 kJ/mol of formula units
# - Space-group type: No. 191
# - Size of the total moment: 0.00 Bohr magnetons per cell
# - Calculated total energy: -39.1 eV per cell
data_La6MgAl2
_chemical_formula_sum 'La6 Mg1 Al2'
_symmetry_space_group_name_H-M 'P 1'
_symmetry_Int_Tables_number 1
_cell_length_a 3.266
_cell_length_b 9.581
_cell_length_c 9.581
_cell_angle_alpha 120.00
_cell_angle_beta 90.00
_cell_angle_gamma 90.00
loop_
_symmetry_equiv_pos_as_xyz
'x,y,z'
loop_
_atom_site_label
_atom_site_type_symbol
_atom_site_fract_x
_atom_site_fract_y
_atom_site_fract_z
La1 La 0.500 0.000 0.343
La2 La 0.500 0.343 0.343
La3 La 0.500 0.000 0.657
La4 La 0.500 0.343 0.000
La5 La 0.500 0.657 0.000
La6 La 0.500 0.657 0.657
Mg1 Mg 0.000 0.000 0.000
Al1 Al 0.000 0.667 0.333
Al2 Al 0.000 0.333 0.667


Record 8
# La5Mg2Al | the Alexandria database | PBE-GGA | relaxed
# - ΔH_f (0 K): -69 kJ/mol of formula units
# - Space-group type: No. 107
# - Size of the total moment: 0.00 Bohr magnetons per cell
# - Calculated total energy: -32.3 eV per cell
data_La5Mg2Al
_chemical_formula_sum 'La5 Mg2 Al1'
_symmetry_space_group_name_H-M 'P 1'
_symmetry_Int_Tables_number 1
_cell_length_a 6.886
_cell_length_b 6.886
_cell_length_c 6.886
_cell_angle_alpha 107.25
_cell_angle_beta 107.25
_cell_angle_gamma 114.02
loop_
_symmetry_equiv_pos_as_xyz
'x,y,z'
loop_
_atom_site_label
_atom_site_type_symbol
_atom_site_fract_x
_atom_site_fract_y
_atom_site_fract_z
La1 La 0.778 0.278 0.000
La2 La 0.278 0.778 0.000
La3 La 0.277 0.277 0.000
La4 La 0.278 0.278 0.500
La5 La 0.778 0.778 0.500
Al1 Al 0.779 0.778 0.000
Mg1 Mg 0.778 0.278 0.500
Mg2 Mg 0.278 0.778 0.500


Record 9
# LaMgAl | the Alexandria database | PBE-GGA | relaxed
# - ΔH_f (0 K): -58 kJ/mol of formula units
# - Space-group type: No. 12
# - Size of the total moment: 0.00 Bohr magnetons per cell
# - Calculated total energy: -21.7 eV per cell
data_LaMgAl
_chemical_formula_sum 'La2 Mg2 Al2'
_symmetry_space_group_name_H-M 'P 1'
_symmetry_Int_Tables_number 1
_cell_length_a 6.921
_cell_length_b 5.823
_cell_length_c 4.426
_cell_angle_alpha 90.00
_cell_angle_beta 71.37
_cell_angle_gamma 78.42
loop_
_symmetry_equiv_pos_as_xyz
'x,y,z'
loop_
_atom_site_label
_atom_site_type_symbol
_atom_site_fract_x
_atom_site_fract_y
_atom_site_fract_z
Al1 Al 0.542 0.074 0.692
Al2 Al 0.628 0.772 0.148
Mg1 Mg 0.257 0.142 0.334
Mg2 Mg 0.912 0.704 0.507
La1 La 0.849 0.226 0.038
La2 La 0.321 0.619 0.802


Record 10
# LaMgAl | the Alexandria database | PBE-GGA | relaxed
# - ΔH_f (0 K): -60 kJ/mol of formula units
# - Space-group type: No. 156
# - Size of the total moment: 0.00 Bohr magnetons per cell
# - Calculated total energy: -21.8 eV per cell
data_LaMgAl
_chemical_formula_sum 'La2 Mg2 Al2'
_symmetry_space_group_name_H-M 'P 1'
_symmetry_Int_Tables_number 1
_cell_length_a 6.647
_cell_length_b 5.193
_cell_length_c 5.194
_cell_angle_alpha 120.05
_cell_angle_beta 90.03
_cell_angle_gamma 89.97
loop_
_symmetry_equiv_pos_as_xyz
'x,y,z'
loop_
_atom_site_label
_atom_site_type_symbol
_atom_site_fract_x
_atom_site_fract_y
_atom_site_fract_z
Mg1 Mg 0.173 0.666 0.923
Mg2 Mg 0.992 0.000 0.589
La1 La 0.315 0.333 0.256
La2 La 0.696 0.667 0.923
Al1 Al 0.846 0.333 0.256
Al2 Al 0.487 0.000 0.590


Record 11
# La3MgAl2 | the Alexandria database | PBE-GGA | relaxed
# - ΔH_f (0 K): -166 kJ/mol of formula units
# - Distance to the lowest polymorph of the same formula: 0 meV/atom
# - Space-group type: No. 164
# - Size of the total moment: 0.00 Bohr magnetons per cell
# - Calculated total energy: -51.2 eV per cell
data_La3MgAl2
_chemical_formula_sum 'La6 Mg2 Al4'
_symmetry_space_group_name_H-M 'P 1'
_symmetry_Int_Tables_number 1
_cell_length_a 5.443
_cell_length_b 5.443
_cell_length_c 13.330
_cell_angle_alpha 90.00
_cell_angle_beta 90.00
_cell_angle_gamma 120.00
loop_
_symmetry_equiv_pos_as_xyz
'x,y,z'
loop_
_atom_site_label
_atom_site_type_symbol
_atom_site_fract_x
_atom_site_fract_y
_atom_site_fract_z
Mg1 Mg 0.667 0.333 0.330
Mg2 Mg 0.333 0.667 0.670
La1 La 0.000 0.000 0.757
La2 La 0.000 0.000 0.243
La3 La 0.333 0.667 0.417
La4 La 0.667 0.333 0.583
La5 La 0.667 0.333 0.076
La6 La 0.333 0.667 0.924
Al1 Al 0.667 0.333 0.826
Al2 Al 0.000 0.000 0.000
Al3 Al 0.000 0.000 0.500
Al4 Al 0.333 0.667 0.174


Record 12
# LaMgAl | the Alexandria database | PBE-GGA | relaxed
# - ΔH_f (0 K): -71 kJ/mol of formula units
# - Space-group type: No. 187
# - Size of the total moment: 0.00 Bohr magnetons per cell
# - Calculated total energy: -11.0 eV per cell
data_LaMgAl
_chemical_formula_sum 'La1 Mg1 Al1'
_symmetry_space_group_name_H-M 'P 1'
_symmetry_Int_Tables_number 1
_cell_length_a 4.958
_cell_length_b 4.958
_cell_length_c 3.741
_cell_angle_alpha 90.00
_cell_angle_beta 90.00
_cell_angle_gamma 120.00
loop_
_symmetry_equiv_pos_as_xyz
'x,y,z'
loop_
_atom_site_label
_atom_site_type_symbol
_atom_site_fract_x
_atom_site_fract_y
_atom_site_fract_z
La1 La 0.667 0.333 0.334
Mg1 Mg 0.333 0.667 0.834
Al1 Al 0.000 0.000 0.833